Ac2GePd: optimized geometry, PBE-GGA.

a b c (Å): 4.4780 4.4780 9.5058
angles (deg): 76.38 76.38 60.00
Atoms (fractional coordinates):
Ac 0.1024 0.1024 0.6927
Ac 0.8976 0.8976 0.3073
Ge 0.5000 0.5000 0.5000
Pd 0.0000 0.0000 0.0000

Output
The formation energy from the elements is -0.095 eV/atom. The density of states at the Fermi level comes out at 2.9 states/eV per cell.